Record 1
Computed, not measured: Cs3Tl2I2Cl4 after structural relaxation at the PBE-GGA level of DFT.

## Properties
* raw total energy: -32.49 eV/cell
* DOS(E_F): 3.4 states/eV per cell

extended XYZ file:
```
11
Lattice="-0.5405 -1.0087 5.6879 3.3221 -4.7278 -0.5228 10.3518 10.8397 -0.0531" Properties=species:S:1:pos:R:3 pbc="T T T"
Cs 0.0000 0.0000 0.0000
Cs 3.8859 2.6380 0.8371
Cs 9.2475 2.4652 4.2749
Tl 9.6534 6.5532 2.0794
Tl 3.4800 -1.4500 3.0326
I 7.1109 4.8272 1.5317
I 6.0226 0.2760 3.5803
Cl 11.5892 4.3758 1.8772
Cl 9.6580 6.2354 4.9825
Cl 3.4755 -1.1322 0.1294
Cl 1.5442 0.7274 3.2348
```

Record 2
Computed, not measured: Cs2Tl4I3Cl2 after structural relaxation at the PBE-GGA level of DFT.

## Properties
* raw total energy: -29.40 eV/cell
* DOS(E_F): 5.9 states/eV per cell

extended XYZ file:
```
11
Lattice="6.1069 0.0000 0.0000 0.0000 6.1069 0.0000 -3.0534 -3.0534 14.2906" Properties=species:S:1:pos:R:3 pbc="T T T"
Cs 0.0000 0.0000 8.7965
Cs 3.0534 3.0534 5.4940
Tl 0.0000 3.0534 12.4111
Tl 3.0534 0.0000 12.4111
Tl 0.0000 3.0534 1.8794
Tl 3.0534 0.0000 1.8794
I 0.0000 0.0000 0.0000
I 0.0000 0.0000 4.9601
I 3.0534 3.0534 9.3305
Cl 0.0000 0.0000 12.1255
Cl 3.0534 3.0534 2.1651
```

Record 3
Computed, not measured: Cs2VI2Cl4 after structural relaxation at the PBE-GGA level of DFT.

## Properties
* raw total energy: -33.47 eV/cell
* DOS(E_F): 7.0 states/eV per cell

extended XYZ file:
```
9
Lattice="-2.9786 7.0860 0.3572 -1.8683 -4.3849 -6.0409 -2.4181 -5.1802 5.1506" Properties=species:S:1:pos:R:3 pbc="T T T"
Cs -3.4950 -1.0407 -3.0644
Cs -3.7699 -1.4384 2.5313
V 0.0000 0.0000 0.0000
I -3.1558 -7.0421 -0.6555
I -1.1306 -2.5230 -0.2348
Cl -1.9818 -4.5491 -3.7296
Cl -5.1494 -3.4306 -0.4968
Cl -2.3046 -5.0159 2.8392
Cl -2.1156 0.9514 -0.0363
```

Record 4
Computed, not measured: Cs2VI5Cl after structural relaxation at the PBE-GGA level of DFT.

## Properties
* raw total energy: -29.54 eV/cell
* DOS(E_F): 7.7 states/eV per cell

extended XYZ file:
```
9
Lattice="-1.9901 0.3191 -7.8835 -0.0320 -7.2645 3.6656 -5.1469 3.2769 5.3836" Properties=species:S:1:pos:R:3 pbc="T T T"
Cs -4.8526 0.8093 0.9938
Cs -2.2952 -4.4614 0.1349
V -5.1363 -3.9548 8.9748
I -2.1235 -0.7697 -1.5993
I -5.0118 -2.8728 2.7061
I -1.2104 -4.7882 4.0376
I -3.9347 0.8265 4.9527
I -1.2235 -0.9421 2.1378
Cl -4.0868 -3.1468 7.1410
```

Which formation energy (no corrections) belongs to each record? In order, -1336.9 -898.9 -1350.8 -1012.9 meV per atom.